Entry 1:
! ReAs2Br, relaxed, DFT PBE; values from VASP
! Fermi-level density of states: 3.62 states/eV per cell
! relative energy among the computed polymorphs: 338 kJ/mol of formula units
! crystal system: orthorhombic
! calculated total energy: -4.833 eV/atom
! spin magnetization: 0.00 μB per formula unit
! formation energy without anion corrections: 4.1 eV/f.u.
&SYSTEM
  ibrav = 0, nat = 4, ntyp = 3
/
ATOMIC_SPECIES
Re 186.21 Re.upf
As 74.92 As.upf
Br 79.90 Br.upf
CELL_PARAMETERS angstrom
3.1404 0.0000 0.0000
0.0000 4.6924 0.0000
0.0000 0.0000 4.7742
ATOMIC_POSITIONS angstrom
Re 0.0000 0.0000 0.0000
As 0.0000 2.3462 2.3871
As 1.5702 0.0000 2.3871
Br 1.5702 2.3462 0.0000

=====

Entry 2:
! Cd2Bi2Se, relaxed, DFT PBE; values from VASP
! Fermi-level density of states: 5.73 states/eV per cell
! relative energy among the computed polymorphs: 37 kJ/mol of formula units
! crystal system: tetragonal
! calculated total energy: -2.479 eV/atom
! spin magnetization: 0.00 μB per formula unit
! formation energy without anion corrections: 0.7 eV/f.u.
&SYSTEM
  ibrav = 0, nat = 10, ntyp = 3
/
ATOMIC_SPECIES
Cd 112.41 Cd.upf
Bi 208.98 Bi.upf
Se 78.96 Se.upf
CELL_PARAMETERS angstrom
7.8038 0.0000 0.0000
0.0000 7.8038 0.0000
0.0000 0.0000 4.6888
ATOMIC_POSITIONS angstrom
Cd 1.2597 2.6422 0.0000
Cd 2.6422 6.5441 0.0000
Cd 5.1616 1.2597 0.0000
Cd 6.5441 5.1616 0.0000
Bi 1.0686 4.9705 2.3444
Bi 2.8334 1.0686 2.3444
Bi 4.9705 6.7353 2.3444
Bi 6.7353 2.8334 2.3444
Se 0.0000 0.0000 0.0000
Se 3.9019 3.9019 0.0000

=====

Entry 3:
! LaTc2Pt, relaxed, DFT PBE; values from VASP
! Fermi-level density of states: 8.70 states/eV per cell
! relative energy among the computed polymorphs: 133 kJ/mol of formula units
! crystal system: orthorhombic
! calculated total energy: -7.709 eV/atom
! spin magnetization: 0.00 μB per formula unit
&SYSTEM
  ibrav = 0, nat = 8, ntyp = 3
/
ATOMIC_SPECIES
La 138.91 La.upf
Tc 98.00 Tc.upf
Pt 195.08 Pt.upf
CELL_PARAMETERS angstrom
2.8806 0.0000 0.0000
0.0000 4.9467 0.0000
0.0000 0.0000 10.5575
ATOMIC_POSITIONS angstrom
La 0.0000 0.0000 0.0000
La 1.4403 2.4734 5.2787
Tc 0.0000 2.4734 2.3465
Tc 0.0000 2.4734 8.2110
Tc 1.4403 0.0000 2.9323
Tc 1.4403 0.0000 7.6252
Pt 0.0000 0.0000 5.2787
Pt 1.4403 2.4734 0.0000

=====

Entry 4:
! Sc12Tl3O5, relaxed, DFT PBE; values from VASP
! Fermi-level density of states: 84.73 states/eV per cell
! crystal system: cubic
! calculated total energy: -6.875 eV/atom
! spin magnetization: 0.00 μB per formula unit
! formation energy without anion corrections: -29.6 eV/f.u.
&SYSTEM
  ibrav = 0, nat = 80, ntyp = 3
/
ATOMIC_SPECIES
Sc 44.96 Sc.upf
Tl 204.38 Tl.upf
O 16.00 O.upf
CELL_PARAMETERS angstrom
-7.2876 7.2876 7.2876
7.2876 -7.2876 7.2876
7.2876 7.2876 -7.2876
ATOMIC_POSITIONS angstrom
Sc 2.1235 -0.6197 0.6852
Sc 8.8079 4.3290 -4.2635
Sc 9.4110 0.6197 0.6852
Sc 8.8079 -2.9586 4.2635
Sc 6.6678 -0.6852 2.1235
Sc 11.5511 -1.5203 2.9586
Sc 0.6852 2.1235 -0.6197
Sc 10.2462 3.0241 -1.5203
Sc 4.3290 4.2635 -1.5203
Sc 6.6024 2.1235 0.6197
Sc -0.6197 0.6852 2.1235
Sc 4.2635 -1.5203 4.3290
Sc 6.6678 6.6024 -2.1235
Sc 4.2635 1.5203 2.9586
Sc 4.3290 -4.2635 8.8079
Sc 6.6024 -2.1235 6.6678
Sc 2.9586 4.2635 1.5203
Sc 7.9728 5.1641 0.6197
Sc 4.2635 8.8079 -2.9586
Sc 6.6678 0.6852 5.1641
Sc 2.1235 6.6678 -0.6852
Sc 8.8079 2.9586 3.0241
Sc 1.5203 2.9586 4.2635
Sc 2.1235 0.6197 6.6024
Sc 5.1641 6.6678 0.6852
Sc 5.7673 4.3290 3.0241
Sc -1.5203 4.3290 4.2635
Sc 5.1641 0.6197 7.9728
Sc 0.6197 6.6024 2.1235
Sc 3.0241 -1.5203 10.2462
Sc -0.6852 2.1235 6.6678
Sc 4.3290 3.0241 5.7673
Sc 0.6852 9.4110 0.6197
Sc 2.9586 11.5511 -1.5203
Sc 3.0241 5.7673 4.3290
Sc 0.6197 0.6852 9.4110
Sc 3.0241 8.8079 2.9586
Sc 7.9073 6.6024 5.1641
Sc 0.6852 5.1641 6.6678
Sc 2.9586 3.0241 8.8079
Sc -2.9586 4.2635 8.8079
Sc 6.6024 5.1641 7.9073
Sc -4.2635 8.8079 4.3290
Sc 0.6197 7.9728 5.1641
Sc -1.5203 10.2462 3.0241
Sc -2.1235 6.6678 6.6024
Sc -1.5203 2.9586 11.5511
Sc 5.1641 7.9073 6.6024
Tl 3.6438 1.8219 0.0000
Tl 7.2876 3.6438 -1.8219
Tl 1.8219 0.0000 3.6438
Tl 9.1095 0.0000 3.6438
Tl 0.0000 3.6438 1.8219
Tl 3.6438 -1.8219 7.2876
Tl 3.6438 9.1095 0.0000
Tl 7.2876 3.6438 5.4657
Tl -1.8219 7.2876 3.6438
Tl 5.4657 7.2876 3.6438
Tl 0.0000 3.6438 9.1095
Tl 3.6438 5.4657 7.2876
O 0.0000 0.0000 0.0000
O 3.6438 3.6438 -3.6438
O 3.6438 -3.6438 3.6438
O 7.2876 0.0000 0.0000
O 10.9314 1.8219 0.0000
O 7.2876 -3.6438 5.4657
O 5.4657 7.2876 -3.6438
O 5.4657 0.0000 3.6438
O 3.6438 5.4657 0.0000
O 7.2876 3.6438 1.8219
O -3.6438 3.6438 3.6438
O 0.0000 7.2876 0.0000
O 0.0000 0.0000 7.2876
O 3.6438 3.6438 3.6438
O 0.0000 3.6438 5.4657
O 3.6438 1.8219 7.2876
O 1.8219 7.2876 3.6438
O 1.8219 0.0000 10.9314
O 0.0000 10.9314 1.8219
O -3.6438 5.4657 7.2876

=====

Entry 5:
! Pa2Tc3Os, relaxed, DFT PBE; values from VASP
! Fermi-level density of states: 14.71 states/eV per cell
! crystal system: monoclinic
! calculated total energy: -10.467 eV/atom
! spin magnetization: 0.00 μB per formula unit
&SYSTEM
  ibrav = 0, nat = 12, ntyp = 3
/
ATOMIC_SPECIES
Pa 231.04 Pa.upf
Tc 98.00 Tc.upf
Os 190.23 Os.upf
CELL_PARAMETERS angstrom
8.4899 0.0000 0.0000
0.0000 5.6429 0.0000
-3.2443 0.0000 4.5942
ATOMIC_POSITIONS angstrom
Pa -0.1959 0.0000 1.7326
Pa 1.1965 2.8215 2.8616
Pa 4.0491 2.8215 1.7326
Pa 5.4414 0.0000 2.8616
Tc 0.0000 2.8215 0.0000
Tc 2.1225 1.4107 0.0000
Tc 2.1225 4.2322 0.0000
Tc 4.2449 0.0000 0.0000
Tc 6.3674 1.4107 0.0000
Tc 6.3674 4.2322 0.0000
Os -1.6221 2.8215 2.2971
Os 2.6228 0.0000 2.2971

=====

Entry 6:
! Sm2ScC2Cl2, relaxed, DFT PBE; values from VASP
! Fermi-level density of states: 6.42 states/eV per cell
! crystal system: tetragonal
! calculated total energy: -6.330 eV/atom
! spin magnetization: 0.00 μB per formula unit
! formation energy without anion corrections: -6.4 eV/f.u.
&SYSTEM
  ibrav = 0, nat = 14, ntyp = 4
/
ATOMIC_SPECIES
Sm 150.36 Sm.upf
Sc 44.96 Sc.upf
C 12.01 C.upf
Cl 35.45 Cl.upf
CELL_PARAMETERS angstrom
4.2986 0.0000 0.0000
0.0000 4.2986 0.0000
0.0000 0.0000 14.7340
ATOMIC_POSITIONS angstrom
Sm 0.0000 0.0000 1.5583
Sm 0.0000 0.0000 13.1757
Sm 2.1493 2.1493 5.8087
Sm 2.1493 2.1493 8.9253
Sc 0.0000 0.0000 7.3670
Sc 2.1493 2.1493 0.0000
C 0.0000 2.1493 0.0000
C 0.0000 2.1493 7.3670
C 2.1493 0.0000 0.0000
C 2.1493 0.0000 7.3670
Cl 0.0000 0.0000 4.5691
Cl 0.0000 0.0000 10.1649
Cl 2.1493 2.1493 2.7979
Cl 2.1493 2.1493 11.9360

=====

Entry 7:
! Dy2ThCu6, relaxed, DFT PBE; values from VASP
! Fermi-level density of states: 6.37 states/eV per cell
! crystal system: hexagonal
! calculated total energy: -4.813 eV/atom
! spin magnetization: 0.00 μB per formula unit
&SYSTEM
  ibrav = 0, nat = 9, ntyp = 3
/
ATOMIC_SPECIES
Dy 162.50 Dy.upf
Th 232.04 Th.upf
Cu 63.55 Cu.upf
CELL_PARAMETERS angstrom
7.3883 0.0000 0.0000
-3.6942 6.3985 0.0000
0.0000 0.0000 3.5825
ATOMIC_POSITIONS angstrom
Dy 0.0000 4.2656 0.0000
Dy 3.6942 2.1328 0.0000
Th 0.0000 0.0000 0.0000
Cu -1.2391 2.1462 1.7913
Cu -2.4550 4.2523 1.7913
Cu 2.4782 0.0000 1.7913
Cu 1.2391 2.1462 1.7913
Cu 4.9101 0.0000 1.7913
Cu 2.4550 4.2523 1.7913

=====

Entry 8:
! La3Tb6Y2Pu, relaxed, DFT PBE; values from VASP
! Fermi-level density of states: 23.53 states/eV per cell
! crystal system: monoclinic
! calculated total energy: -5.768 eV/atom
! spin magnetization: 6.75 μB per formula unit
&SYSTEM
  ibrav = 0, nat = 12, ntyp = 4
/
ATOMIC_SPECIES
La 138.91 La.upf
Tb 158.93 Tb.upf
Y 88.91 Y.upf
Pu 244.00 Pu.upf
CELL_PARAMETERS angstrom
3.1152 -5.4009 0.0000
3.1152 5.4009 0.0000
-2.0867 0.0000 11.6739
ATOMIC_POSITIONS angstrom
La 0.0000 0.0000 0.0000
La 3.1152 1.8064 0.0000
La 3.1152 -1.8064 0.0000
Tb 1.0524 1.7747 2.9980
Tb 0.0185 0.0000 8.6815
Tb 1.0524 -1.7747 2.9980
Tb 3.0913 1.7747 8.6758
Tb 4.1253 0.0000 2.9924
Tb 3.0913 -1.7747 8.6758
Y 2.0719 3.6020 5.8369
Y 2.0719 -3.6020 5.8369
Pu 2.0719 0.0000 5.8369